First-principles (PBE-GGA) data for a relaxed structure of BaCa2YV, as listed in Alexandria.

Lattice parameters (Å, degrees): 5.7856 5.7856 5.7256 90.00 90.00 90.00
With the nearest neighbours (Å) after each atom.
Space group P4/mmm (No. 123)
Asymmetric unit:
Ba (0.0000, 0.0000, 0.0000) [1 per cell]  2 Y 2.86, 4 Ca 2.89
Ca (0.0000, 0.5000, 0.0000) [2 per cell]  2 Ba 2.89
Y (0.0000, 0.0000, 0.5000) [1 per cell]  2 Ba 2.86
V (0.5000, 0.5000, 0.5000) [1 per cell]  8 Ca 4.07, 4 Y 4.09

Calculated values
Its total magnetization is 2.803 μB/cell. The value obtained for the density is 3.10 g cm⁻³. For the calculated volume, the calculation gives 191.7 Å³/f.u. As for the formation energy from the elements: 1489 meV/atom.